Ac12Ga6Si: relaxed, PBE.

Fermi-level density of states: 27.061 states/eV per cell
Formation energy (no corrections): -184 meV/atom

Lattice parameters (Å, degrees): 9.2527 9.2527 9.2527 99.79 99.79 99.79
Sites, in units of the cell vectors:
Si: 0.0000 0.0000 0.0000
Ga: 0.8654 0.3847 0.6939
Ga: 0.1346 0.6153 0.3061
Ga: 0.3847 0.6939 0.8654
Ga: 0.6153 0.3061 0.1346
Ga: 0.6939 0.8654 0.3847
Ga: 0.3061 0.1346 0.6153
Ac: 0.0724 0.9469 0.3236
Ac: 0.5770 0.4362 0.8176
Ac: 0.3236 0.0724 0.9469
Ac: 0.9469 0.3236 0.0724
Ac: 0.4230 0.5638 0.1824
Ac: 0.9276 0.0531 0.6764
Ac: 0.8176 0.5770 0.4362
Ac: 0.1824 0.4230 0.5638
Ac: 0.0531 0.6764 0.9276
Ac: 0.5638 0.1824 0.4230
Ac: 0.6764 0.9276 0.0531
Ac: 0.4362 0.8176 0.5770